Pm2Tm2Sc5 | GGA-PBE | relaxed

abc: 8.8758 8.8758 8.8758
angles: 98.81 124.11 106.62
Positions (direct):
Pm  0.1219  0.1033  0.2252
Pm  0.1219  0.3967  0.5186
Pm  0.8781  0.6033  0.4814
Pm  0.8781  0.8967  0.7748
Tm  0.5620  0.0620  0.5000
Tm  0.5620  0.5620  0.0000
Tm  0.5837  0.4433  0.6404
Tm  0.8030  0.9433  0.3596
Sc  0.2419  0.1780  0.8122
Sc  0.2419  0.9296  0.5638
Sc  0.3013  0.7865  0.0148
Sc  0.3658  0.4296  0.1878
Sc  0.3658  0.6780  0.4362
Sc  0.5987  0.1943  0.2055
Sc  0.5987  0.8932  0.9044
Sc  0.7716  0.2865  0.9852
Sc  0.9888  0.3932  0.7945
Sc  0.9888  0.6943  0.0956

**DOS(E_F)**: 1.37 states/eV/atom
**Symmetry**: Ima2 (46)
**DFT total energy**: -5.38 eV per atom